Material: DyPu2Si3Pt4
Method: DFT, GGA-PBE
State: optimized geometry

Structure (extended XYZ):
```
10
Lattice="-1.064 1.681 -3.674 -0.398 -3.824 -1.634 -10.678 -0.176 3.013" Properties=species:S:1:pos:R:3 pbc="T T T"
Dy -6.070 -1.160 -1.147
Pu -3.007 0.800 -1.139
Pu -8.403 -2.048 1.498
Si -5.339 -0.088 1.507
Si -9.921 0.685 0.812
Si -1.489 -1.933 -0.453
Pt -0.731 -1.072 -2.654
Pt 0.000 0.000 0.000
Pt -7.625 0.723 0.165
Pt -3.784 -1.971 0.195
```

Properties
DOS(E_F): 25.38 states/eV/cell
Space group: P-4m2, No. 115
Uncorrected formation energy: -0.861 eV per atom